Record 1
This record from the Alexandria database describes crystalline InSn3Bi at its relaxed geometry. The functional is GGA-PBE.

Cell: 5.597 5.597 5.597 Å, 90.00 90.00 90.00°
Space group Pm-3m (No. 221)
Inequivalent atoms, fractional coordinates:
1 In 0.000 0.000 0.000 (multiplicity 1)
2 Sn 0.000 0.000 0.500 (multiplicity 3)
3 Bi 0.500 0.500 0.500 (multiplicity 1)

Summary:
DFT formation energy = 0.52 eV per atom
Calculated density = 6.440 Mg/m³


Record 2
This record from the Alexandria database describes crystalline In2Sn2Bi at its relaxed geometry. The functional is GGA-PBE.

Cell: 3.505 3.505 23.353 Å, 90.00 90.00 90.00°
Space group I4/mmm (No. 139)
Inequivalent atoms, fractional coordinates:
1 In 0.000 0.000 0.104 (multiplicity 4)
2 Sn 0.000 0.000 0.298 (multiplicity 4)
3 Bi 0.000 0.000 0.500 (multiplicity 2)

Summary:
DFT formation energy = 0.04 eV per atom
Calculated density = 7.824 Mg/m³


Record 3
This record from the Alexandria database describes crystalline In4SnBi at its relaxed geometry. The functional is GGA-PBE.

Cell: 5.309 6.678 9.696 Å, 90.00 90.00 90.00°
Space group Pmmn (No. 59, origin choice 2)
Inequivalent atoms, fractional coordinates:
1 In 0.250 0.004 0.244 (multiplicity 4)
2 In 0.250 0.750 0.594 (multiplicity 2)
3 In 0.250 0.750 0.922 (multiplicity 2)
4 Sn 0.250 0.250 0.914 (multiplicity 2)
5 Bi 0.250 0.250 0.589 (multiplicity 2)

Summary:
DFT formation energy = 0.03 eV per atom
Calculated density = 7.603 Mg/m³


Record 4
This record from the Alexandria database describes crystalline InSn2Bi2 at its relaxed geometry. The functional is GGA-PBE.

Cell: 8.771 8.771 4.048 Å, 90.00 90.00 90.00°
Space group P4/mbm (No. 127)
Inequivalent atoms, fractional coordinates:
1 In 0.000 0.000 0.000 (multiplicity 2)
2 Sn 0.140 0.360 0.000 (multiplicity 4)
3 Bi 0.151 0.651 0.500 (multiplicity 4)

Summary:
DFT formation energy = 0.10 eV per atom
Calculated density = 8.214 Mg/m³


E above lowest polymorph for the records above, in order: 461 0 0 31 meV per atom